HoPbAuSe3: optimized geometry, PBE.

```
data_HoPbAuSe3
_chemical_formula_sum 'Ho2 Pb2 Au2 Se6'
_space_group_name_H-M_alt 'P 1 21/m 1'
_space_group_IT_number 11
_cell_length_a 7.8886
_cell_length_b 4.1038
_cell_length_c 10.0846
_cell_angle_alpha 90.00
_cell_angle_beta 106.86
_cell_angle_gamma 90.00
loop_
_space_group_symop_operation_xyz
'x,y,z'
'-x,-y,-z'
'-x,y+1/2,-z'
'x,-y+1/2,z'
loop_
_atom_site_label
_atom_site_fract_x
_atom_site_fract_y
_atom_site_fract_z
_atom_site_occupancy
Ho1 0.1924 0.2500 0.1670 1
Pb1 0.2367 0.7500 0.7057 1
Au1 0.3845 0.7500 0.4065 1
Se1 0.0757 0.2500 0.8703 1
Se2 0.1929 0.2500 0.4582 1
Se3 0.4467 0.7500 0.1664 1
```

Properties
- density (Mg/m³) = 8.6
- distance to the lowest polymorph of the same formula (meV/atom) = 0
- size of the total moment (μB per cell) = 0.01
- electronic total energy (eV per cell) = -55.2

HoPbAuSe3: optimized geometry, PBE.

```
data_HoPbAuSe3
_chemical_formula_sum 'Ho4 Pb4 Au4 Se12'
_space_group_name_H-M_alt 'C m c m'
_space_group_IT_number 63
_space_group_name_Hall '-C 2c 2'
_cell_length_a 4.0590
_cell_length_b 13.9120
_cell_length_c 10.5866
_cell_angle_alpha 90.00
_cell_angle_beta 90.00
_cell_angle_gamma 90.00
loop_
_atom_site_label
_atom_site_fract_x
_atom_site_fract_y
_atom_site_fract_z
_atom_site_occupancy
Ho1 0.0000 0.0000 0.0000 1
Pb1 0.0000 0.2346 0.2500 1
Au1 0.0000 0.4623 0.7500 1
Se1 0.0000 0.0899 0.7500 1
Se2 0.0000 0.3554 0.5477 1
```

Properties
- density (Mg/m³) = 9.0
- distance to the lowest polymorph of the same formula (meV/atom) = 10
- size of the total moment (μB per cell) = 0.02
- electronic total energy (eV per cell) = -110.2

HoPbAuSe3: optimized geometry, PBE.

```
data_HoPbAuSe3
_chemical_formula_sum 'Ho4 Pb4 Au4 Se12'
_space_group_name_H-M_alt 'P n m a'
_space_group_IT_number 62
_cell_length_a 12.7530
_cell_length_b 4.1599
_cell_length_c 11.4083
_cell_angle_alpha 90.00
_cell_angle_beta 90.00
_cell_angle_gamma 90.00
loop_
_space_group_symop_operation_xyz
'x,y,z'
'-x,-y,-z'
'-x+1/2,-y,z+1/2'
'x+1/2,y,-z+1/2'
'x+1/2,-y+1/2,-z+1/2'
'-x+1/2,y+1/2,z+1/2'
'-x,y+1/2,-z'
'x,-y+1/2,z'
loop_
_atom_site_label
_atom_site_fract_x
_atom_site_fract_y
_atom_site_fract_z
_atom_site_occupancy
Ho1 0.0049 0.2500 0.1787 1
Pb1 0.2066 0.2500 0.4661 1
Au1 0.2007 0.7500 0.2307 1
Se1 0.0340 0.7500 0.3498 1
Se2 0.1087 0.2500 0.9517 1
Se3 0.1863 0.7500 0.6753 1
```

Properties
- density (Mg/m³) = 8.8
- distance to the lowest polymorph of the same formula (meV/atom) = 42
- size of the total moment (μB per cell) = 0.01
- electronic total energy (eV per cell) = -109.4

HoPd6Au5: optimized geometry, PBE.

```
data_HoPd6Au5
_chemical_formula_sum 'Ho2 Pd12 Au10'
_space_group_name_H-M_alt 'C 1 2/m 1'
_space_group_IT_number 12
_cell_length_a 4.2156
_cell_length_b 12.4677
_cell_length_c 7.7948
_cell_angle_alpha 90.00
_cell_angle_beta 90.16
_cell_angle_gamma 90.00
loop_
_space_group_symop_operation_xyz
'x,y,z'
'-x,-y,-z'
'-x,y,-z'
'x,-y,z'
'x+1/2,y+1/2,z'
'-x+1/2,-y+1/2,-z'
'-x+1/2,y+1/2,-z'
'x+1/2,-y+1/2,z'
loop_
_atom_site_label
_atom_site_fract_x
_atom_site_fract_y
_atom_site_fract_z
_atom_site_occupancy
Ho1 0.0000 0.0000 0.0000 1
Pd1 0.9999 0.1678 0.2524 1
Pd2 0.0006 0.5000 0.2500 1
Au1 0.0000 0.0000 0.5000 1
Au2 0.0000 0.3312 0.0000 1
Au3 0.0000 0.3358 0.5000 1
```

Properties
- density (Mg/m³) = 14.5
- size of the total moment (μB per cell) = 0.00
- energy relative to the elements (eV/f.u.) = -4.6
- electronic total energy (eV per cell) = -113.1

Ho4PdAu3: optimized geometry, PBE.

```
data_Ho4PdAu3
_chemical_formula_sum 'Ho4 Pd1 Au3'
_space_group_name_H-M_alt 'P m m 2'
_space_group_IT_number 25
_cell_length_a 3.7197
_cell_length_b 4.6563
_cell_length_c 10.7652
_cell_angle_alpha 90.00
_cell_angle_beta 90.00
_cell_angle_gamma 90.00
loop_
_space_group_symop_operation_xyz
'x,y,z'
'-x,-y,z'
'-x,y,z'
'x,-y,z'
loop_
_atom_site_label
_atom_site_fract_x
_atom_site_fract_y
_atom_site_fract_z
_atom_site_occupancy
Ho1 0.0000 0.0000 0.0000 1
Ho2 0.0000 0.5000 0.2705 1
Ho3 0.5000 0.0000 0.4887 1
Ho4 0.5000 0.5000 0.7733 1
Pd1 0.5000 0.0000 0.2209 1
Au1 0.0000 0.0000 0.7230 1
Au2 0.0000 0.5000 0.5444 1
Au3 0.5000 0.5000 0.0481 1
```

Properties
- density (Mg/m³) = 12.1
- size of the total moment (μB per cell) = 0.02
- energy relative to the elements (eV/f.u.) = -7.3
- electronic total energy (eV per cell) = -40.6

Pm2HoAu6: optimized geometry, PBE.

```
data_Pm2HoAu6
_chemical_formula_sum 'Pm2 Ho1 Au6'
_space_group_name_H-M_alt 'P 4/m m m'
_space_group_IT_number 123
_space_group_name_Hall '-P 4 2'
_cell_length_a 4.8083
_cell_length_b 4.8083
_cell_length_c 12.3445
_cell_angle_alpha 90.00
_cell_angle_beta 90.00
_cell_angle_gamma 90.00
loop_
_atom_site_label
_atom_site_fract_x
_atom_site_fract_y
_atom_site_fract_z
_atom_site_occupancy
Pm1 0.0000 0.0000 0.2309 1
Ho1 0.5000 0.5000 0.5000 1
Au1 0.0000 0.0000 0.0000 1
Au2 0.0000 0.0000 0.5000 1
Au3 0.0000 0.5000 0.3604 1
```

Properties
- density (Mg/m³) = 9.5
- size of the total moment (μB per cell) = 0.00
- energy relative to the elements (eV/f.u.) = -3.1
- electronic total energy (eV per cell) = -36.7

Question: Look up the electronic total energy of the second one.
Answer: -110.2 eV per cell

Question: What is the formula in the fifth record?
Answer: Ho4PdAu3